# Sc2HgMoH (PBE, relaxed)
data_Sc2HgMoH
_space_group_name_H-M_alt 'P 4/m m m'
_space_group_IT_number 123
_space_group_name_Hall '-P 4 2'
_cell_length_a 4.655
_cell_length_b 4.655
_cell_length_c 3.700
_cell_angle_alpha 90.00
_cell_angle_beta 90.00
_cell_angle_gamma 90.00
loop_
_atom_site_label
_atom_site_type_symbol
_atom_site_fract_x
_atom_site_fract_y
_atom_site_fract_z
Sc1 Sc 0.000 0.500 0.000
Hg1 Hg 0.000 0.000 0.500
Mo1 Mo 0.500 0.500 0.500
H1 H 0.500 0.500 0.000
# Raw total energy, eV/atom: -5.641

---

# ErTm5Hg4 (PBE, relaxed)
data_ErTm5Hg4
_space_group_name_H-M_alt 'P 4/m m m'
_space_group_IT_number 123
_space_group_name_Hall '-P 4 2'
_cell_length_a 3.619
_cell_length_b 3.619
_cell_length_c 19.963
_cell_angle_alpha 90.00
_cell_angle_beta 90.00
_cell_angle_gamma 90.00
loop_
_atom_site_label
_atom_site_type_symbol
_atom_site_fract_x
_atom_site_fract_y
_atom_site_fract_z
Er1 Er 0.000 0.000 0.000
Tm1 Tm 0.500 0.500 0.121
Tm2 Tm 0.500 0.500 0.312
Tm3 Tm 0.500 0.500 0.500
Hg1 Hg 0.000 0.000 0.216
Hg2 Hg 0.000 0.000 0.405
# Energy of formation, eV/f.u.: -3.69